Entry from Alexandria via LeMat-Bulk: a relaxed structure of Sr3Hg4Ge2 (GGA-PBE).

D(E_F)   0.31 states/eV per atom
Energy relative to the elements   -0.49 eV per atom
Space group   C2/m, No. 12

a b c (Å): 6.426 6.426 9.509
angles (deg): 107.69 107.69 43.60
Element x y z (fractional)
Sr 0.000 0.000 0.000
Sr 0.327 0.327 0.348
Sr 0.673 0.673 0.652
Hg 0.042 0.042 0.372
Hg 0.276 0.276 0.931
Hg 0.724 0.724 0.069
Hg 0.958 0.958 0.628
Ge 0.395 0.395 0.728
Ge 0.605 0.605 0.272

Entry from Alexandria via LeMat-Bulk: a relaxed structure of Sr2HgGe3 (GGA-PBE).

D(E_F)   0.23 states/eV per atom
Energy relative to the elements   -0.46 eV per atom
Space group   Pmm2, No. 25

a b c (Å): 4.619 4.779 7.413
angles (deg): 90.00 90.00 90.00
Element x y z (fractional)
Sr 0.000 0.000 0.000
Sr 0.000 0.500 0.488
Hg 0.500 0.500 0.829
Ge 0.500 0.000 0.316
Ge 0.500 0.000 0.655
Ge 0.500 0.500 0.188

Entry from Alexandria via LeMat-Bulk: a relaxed structure of Sr2Hg2Ge (GGA-PBE).

D(E_F)   0.88 states/eV per atom
Relative energy among the computed polymorphs   1.44 eV/f.u.
Energy relative to the elements   -0.21 eV per atom
Space group   P4/mbm, No. 127

a b c (Å): 8.803 8.803 4.261
angles (deg): 90.00 90.00 90.00
Element x y z (fractional)
Sr 0.170 0.330 0.000
Sr 0.330 0.830 0.000
Sr 0.670 0.170 0.000
Sr 0.830 0.670 0.000
Hg 0.130 0.630 0.500
Hg 0.370 0.130 0.500
Hg 0.630 0.870 0.500
Hg 0.870 0.370 0.500
Ge 0.000 0.000 0.000
Ge 0.500 0.500 0.000

no.,magnetization (Bohr magnetons per cell)
1,0.000
2,0.000
3,0.000